This record from Alexandria via LeMat-Bulk describes a relaxed structure of Li2SmHg8. The functional is GGA-PBE.

```
11
Lattice="4.7740 0.0365 -1.4420 -0.9027 6.4469 -2.7882 -0.0826 -0.1874 8.5464" Properties=species:S:1:pos:R:3 pbc="T T T"
Hg 0.1681 2.8164 6.2786
Hg 4.5467 0.0301 3.4070
Hg 4.0311 2.9660 1.7983
Hg 1.1230 2.2846 0.7071
Hg 3.6681 0.1803 0.4103
Hg 1.6447 4.7271 2.6012
Hg 2.7778 1.2138 6.2577
Hg 0.7779 5.4695 -0.3263
Li 2.0013 2.0145 3.6857
Li 3.1312 3.9646 -1.1957
Sm -0.2353 5.6629 5.0611
```

Properties
The crystal system is triclinic. The symmetry is No. 1. Its formation energy is -23 kJ per mole of atoms. The calculation puts the volume at 23.620 Å³/atom.